# AgH3Pt2

A relaxed AgH3Pt2 crystal (PBE, Alexandria).

* calculated volume: 126.16 Å³/cell
* energy: -4.1304 eV/atom

a b c (Å): 2.919 6.209 7.728
angles (deg): 68.82 79.25 76.50
Positions (direct):
1 Ag 0.128 0.276 0.473
2 Ag 0.872 0.724 0.527
3 H 0.132 0.663 0.071
4 H 0.294 0.605 0.812
5 H 0.321 0.043 0.305
6 H 0.679 0.957 0.695
7 H 0.706 0.395 0.188
8 H 0.868 0.337 0.929
9 Pt 0.144 0.893 0.831
10 Pt 0.438 0.326 0.796
11 Pt 0.562 0.674 0.204
12 Pt 0.856 0.107 0.169